First-principles (GGA-PBE) data for a relaxed KSnAs3 crystal, as listed in Alexandria.

Results
formation energy = 39.98 kJ/mol of atoms
total magnetic moment = 0.0 μB per formula unit
excess energy over the best structure of this formula in the dataset = 0.00 kJ/mol of atoms
DFT total energy = -17.0 eV/f.u.
space-group type = Pm-3m

Lattice parameters (Å, degrees): 5.3923 5.3923 5.3923 90.00 90.00 90.00
Closest atoms and distances in Å follow each position.
Fractional positions:
K 0.5000 0.5000 0.5000  12 As 3.81
As 0.0000 0.5000 0.0000  2 Sn 2.70
As 0.0000 0.0000 0.5000  2 Sn 2.70
As 0.5000 0.0000 0.0000  2 Sn 2.70
Sn 0.0000 0.0000 0.0000  6 As 2.70